A plane-wave DFT calculation with GGA-PBE was carried out for a geometry-optimized BeCuSiAu structure.

Output
Energy above the lowest structure with this stoichiometry, eV per atom: 0.0000
Calculated density, g/cm3: 9.354
Total DFT energy (no corrections), eV per formula unit: -15.42

Cell: 5.956 5.956 5.956 Å, 90.00 90.00 90.00°
Space group F-43m (No. 216)
Unique sites:
1 Be 0.000 0.000 0.000 (multiplicity 4)
2 Cu 0.250 0.250 0.750 (multiplicity 4)
3 Si 0.000 0.000 0.500 (multiplicity 4)
4 Au 0.250 0.250 0.250 (multiplicity 4)

***

A plane-wave DFT calculation with GGA-PBE was carried out for a geometry-optimized BeTlCuAu structure.

Output
Energy above the lowest structure with this stoichiometry, eV per atom: 0.0000
Calculated density, g/cm3: 12.387
Total DFT energy (no corrections), eV per formula unit: -11.85

Cell: 6.334 6.334 6.334 Å, 90.00 90.00 90.00°
Space group F-43m (No. 216)
Unique sites:
1 Be 0.000 0.000 0.000 (multiplicity 4)
2 Tl 0.250 0.250 0.250 (multiplicity 4)
3 Cu 0.000 0.000 0.500 (multiplicity 4)
4 Au 0.250 0.250 0.750 (multiplicity 4)

***

A plane-wave DFT calculation with GGA-PBE was carried out for a geometry-optimized DyBeAu4 structure.

Output
Calculated density, g/cm3: 14.405
Total DFT energy (no corrections), eV per formula unit: -23.23

Cell: 3.433 3.433 9.383 Å, 90.00 90.00 90.00°
Space group P4/mmm (No. 123)
Unique sites:
1 Dy 0.000 0.000 0.000 (multiplicity 1)
2 Be 0.500 0.500 0.500 (multiplicity 1)
3 Au 0.000 0.000 0.358 (multiplicity 2)
4 Au 0.500 0.500 0.188 (multiplicity 2)